# 1
A plane-wave DFT calculation with GGA-PBE was carried out for a relaxed Sn2TePb crystal.

It has space group Fm-3m (No. 225), with a = 7.744 Å, b = 7.744 Å, c = 7.744 Å, α = 90.00°, β = 90.00° and γ = 90.00°. The inequivalent atoms are Sn at (0.250, 0.250, 0.250), Te at (0.000, 0.000, 0.000) and Pb at (0.000, 0.000, 0.500).

The final energy is -3.634 eV per atom. The energy above the most stable polymorph in this dataset comes out at 0.069 eV/atom. The value obtained for the magnetic moment is 0.00 μB/f.u.

***

# 2
A plane-wave DFT calculation with GGA-PBE was carried out for a relaxed Sn5Te6Pb crystal.

It has space group C2/m (No. 12), with a = 7.869 Å, b = 13.633 Å, c = 7.874 Å, α = 90.00°, β = 109.47° and γ = 90.00°. The inequivalent atoms are Sn at (0.000, 0.000, 0.000), Sn at (0.000, 0.167, 0.500), Sn at (0.000, 0.335, 0.000), Te at (0.245, 0.000, 0.751), Te at (0.246, 0.169, 0.247) and Pb at (0.000, 0.500, 0.500).

The final energy is -3.854 eV per atom. The value obtained for the magnetic moment is 0.00 μB/f.u.

***

# 3
A plane-wave DFT calculation with GGA-PBE was carried out for a relaxed Sn4Te8Pb3 crystal.

It has space group R-3m (No. 166, hexagonal axes), with a = 8.9810 Å, b = 8.9810 Å, c = 24.2508 Å, α = 90.00°, β = 90.00° and γ = 120.00°. The inequivalent atoms are Sn at (0.0000, 0.0000, 0.0000), Sn at (0.0000, 0.0000, 0.1408), Sn at (0.0000, 0.0000, 0.5000), Te at (0.0000, 0.0000, 0.2581), Te at (0.0008, 0.5004, 0.2509) and Pb at (0.0000, 0.5000, 0.0000).

The final energy is -3.673 eV per atom. The energy above the most stable polymorph in this dataset comes out at 0.090 eV/atom. The value obtained for the magnetic moment is 0.00 μB/f.u.

***

# 4
A plane-wave DFT calculation with GGA-PBE was carried out for a relaxed SnTe3Pb crystal.

It has space group Pm-3m (No. 221), with a = 5.705 Å, b = 5.705 Å, c = 5.705 Å, α = 90.00°, β = 90.00° and γ = 90.00°. The inequivalent atoms are Sn at (0.000, 0.000, 0.000), Te at (0.000, 0.000, 0.500) and Pb at (0.500, 0.500, 0.500).

The final energy is -3.190 eV per atom. The energy above the most stable polymorph in this dataset comes out at 0.355 eV/atom. The value obtained for the magnetic moment is 0.00 μB/f.u.